[1]
{"formula": "Ga2Ag2TeS3", "functional": "GGA-PBE", "state": "relaxed", "cell": [[6.138, -2.943, 0.000], [6.138, 2.943, 0.000], [-2.786, 0.000, 5.350]], "species": ["Te", "Ga", "Ga", "S", "S", "S", "Ag", "Ag"], "frac_coords": [[0.857, 0.143, 0.000], [0.738, 0.522, 0.394], [0.478, 0.262, 0.606], [0.615, 0.885, 0.291], [0.115, 0.385, 0.709], [0.400, 0.600, 0.500], [0.010, 0.713, 0.131], [0.287, 0.990, 0.869]], "energy_ev_per_atom": -3.8370, "space_group": "No. 5"}

[2]
{"formula": "TaCoNiB", "functional": "GGA-PBE", "state": "relaxed", "cell": [[-3.773, 0.000, -1.318], [-2.869, 1.759, 2.155], [-1.667, 3.396, -1.286]], "species": ["Ta", "B", "Ni", "Co"], "frac_coords": [[0.250, 0.250, 0.250], [0.000, 0.000, 0.000], [0.750, 0.750, 0.750], [0.500, 0.500, 0.500]], "energy_ev_per_atom": -7.6703, "space_group": "No. 216"}

[3]
{"formula": "La2Tc", "functional": "GGA-PBE", "state": "relaxed", "cell": [[4.170, 2.408, 6.810], [-4.170, 2.408, 6.810], [0.000, -4.816, 6.810]], "species": ["La", "La", "La", "La", "Tc", "Tc"], "frac_coords": [[0.875, 0.375, 0.375], [0.375, 0.375, 0.375], [0.375, 0.875, 0.375], [0.375, 0.375, 0.875], [0.250, 0.250, 0.250], [0.500, 0.500, 0.500]], "space_group": "No. 227", "delta_e_f_ev_per_fu": 2.14}

[4]
{"formula": "HgAuSeO", "functional": "GGA-PBE", "state": "relaxed", "cell": [[-0.558, -0.170, -3.639], [-6.397, -3.459, 1.142], [-2.999, 5.613, 0.197]], "species": ["Au", "Au", "Hg", "Hg", "O", "O", "Se", "Se"], "frac_coords": [[0.500, 0.055, 0.642], [0.500, 0.945, 0.142], [0.000, 0.655, 0.538], [0.000, 0.345, 0.038], [0.500, 0.224, 0.187], [0.500, 0.776, 0.687], [0.000, 0.283, 0.624], [0.000, 0.717, 0.124]], "energy_ev_per_atom": -2.9426, "space_group": "No. 26"}